An optimized crystal structure of TeP2Pt. Source: Alexandria via LeMat-Bulk, functional GGA-PBE.

Structure (CIF):
```
data_TeP2Pt
_cell_length_a 3.7164
_cell_length_b 4.5926
_cell_length_c 4.5954
_cell_angle_alpha 70.29
_cell_angle_beta 90.00
_cell_angle_gamma 90.00
_symmetry_space_group_name_H-M 'P 1'
_symmetry_Int_Tables_number 1
loop_
_symmetry_equiv_pos_as_xyz
'x,y,z'
loop_
_atom_site_label
_atom_site_type_symbol
_atom_site_fract_x
_atom_site_fract_y
_atom_site_fract_z
_atom_site_occupancy
Te1 Te 0.5000 0.7385 0.7387 1
P1 P 0.0000 0.0212 0.0221 1
P2 P 0.5000 0.2598 0.2594 1
Pt1 Pt 0.0000 0.4806 0.4798 1
```

- uncorrected formation energy (eV per atom) = 0.01
- calculated volume (Å³ per cell) = 73.8

=====

An optimized crystal structure of LiV2Ni2. Source: Alexandria via LeMat-Bulk, functional GGA-PBE.

Structure (CIF):
```
data_LiV2Ni2
_cell_length_a 7.1584
_cell_length_b 7.1584
_cell_length_c 2.5341
_cell_angle_alpha 90.00
_cell_angle_beta 90.00
_cell_angle_gamma 90.00
_symmetry_space_group_name_H-M 'P 1'
_symmetry_Int_Tables_number 1
loop_
_symmetry_equiv_pos_as_xyz
'x,y,z'
loop_
_atom_site_label
_atom_site_type_symbol
_atom_site_fract_x
_atom_site_fract_y
_atom_site_fract_z
_atom_site_occupancy
Li1 Li 0.0000 0.0000 0.0000 1
Ni1 Ni 0.8702 0.6298 0.0000 1
V1 V 0.1640 0.6640 0.5000 1
Ni2 Ni 0.1298 0.3702 0.0000 1
V2 V 0.3360 0.1640 0.5000 1
V3 V 0.6640 0.8360 0.5000 1
Ni3 Ni 0.3702 0.8702 0.0000 1
Ni4 Ni 0.6298 0.1298 0.0000 1
Li2 Li 0.5000 0.5000 0.0000 1
V4 V 0.8360 0.3360 0.5000 1
```

- relative energy among the computed polymorphs (meV per atom) = 0
- E_form (kJ per mole of atoms) = -0.07
- calculated volume (Å³ per cell) = 129.9

=====

An optimized crystal structure of Pm2NdSb. Source: Alexandria via LeMat-Bulk, functional GGA-PBE.

Structure (CIF):
```
data_Pm2NdSb
_cell_length_a 4.1115
_cell_length_b 4.1115
_cell_length_c 9.9971
_cell_angle_alpha 78.13
_cell_angle_beta 78.13
_cell_angle_gamma 60.00
_symmetry_space_group_name_H-M 'P 1'
_symmetry_Int_Tables_number 1
loop_
_symmetry_equiv_pos_as_xyz
'x,y,z'
loop_
_atom_site_label
_atom_site_type_symbol
_atom_site_fract_x
_atom_site_fract_y
_atom_site_fract_z
_atom_site_occupancy
Nd1 Nd 0.5002 0.5002 0.4993 1
Sb1 Sb 0.6665 0.6665 0.0006 1
Pm1 Pm 0.0675 0.0675 0.7976 1
Pm2 Pm 0.2659 0.2659 0.2024 1
```

- relative energy among the computed polymorphs (meV per atom) = 201
- uncorrected formation energy (eV per atom) = -0.37
- calculated volume (Å³ per cell) = 142.2

=====

An optimized crystal structure of VNiCCl2. Source: Alexandria via LeMat-Bulk, functional GGA-PBE.

Structure (CIF):
```
data_VNiCCl2
_cell_length_a 4.2404
_cell_length_b 5.0936
_cell_length_c 4.2404
_cell_angle_alpha 90.00
_cell_angle_beta 90.00
_cell_angle_gamma 90.00
_symmetry_space_group_name_H-M 'P 1'
_symmetry_Int_Tables_number 1
loop_
_symmetry_equiv_pos_as_xyz
'x,y,z'
loop_
_atom_site_label
_atom_site_type_symbol
_atom_site_fract_x
_atom_site_fract_y
_atom_site_fract_z
_atom_site_occupancy
C1 C 0.5000 0.5000 0.5000 1
V1 V 0.0000 0.5000 0.0000 1
Cl1 Cl 0.0000 0.0000 0.5000 1
Cl2 Cl 0.5000 0.0000 0.0000 1
Ni1 Ni 0.0000 0.0000 0.0000 1
```

- uncorrected formation energy (eV per atom) = 1.66
- calculated volume (Å³ per cell) = 91.6

=====

An optimized crystal structure of Pm3TeRhO. Source: Alexandria via LeMat-Bulk, functional GGA-PBE.

Structure (CIF):
```
data_Pm3TeRhO
_cell_length_a 4.1208
_cell_length_b 9.0298
_cell_length_c 9.0760
_cell_angle_alpha 107.74
_cell_angle_beta 90.00
_cell_angle_gamma 90.00
_symmetry_space_group_name_H-M 'P 1'
_symmetry_Int_Tables_number 1
loop_
_symmetry_equiv_pos_as_xyz
'x,y,z'
loop_
_atom_site_label
_atom_site_type_symbol
_atom_site_fract_x
_atom_site_fract_y
_atom_site_fract_z
_atom_site_occupancy
Pm1 Pm 0.7500 0.4347 0.1988 1
Te1 Te 0.2500 0.1506 0.2248 1
O1 O 0.2500 0.0925 0.5949 1
Pm2 Pm 0.2500 0.1675 0.8622 1
Pm3 Pm 0.2500 0.8268 0.4717 1
Rh1 Rh 0.7500 0.3908 0.8755 1
O2 O 0.7500 0.9075 0.4051 1
Te2 Te 0.7500 0.8494 0.7752 1
Pm4 Pm 0.7500 0.8325 0.1378 1
Rh2 Rh 0.2500 0.6092 0.1245 1
Pm5 Pm 0.2500 0.5653 0.8012 1
Pm6 Pm 0.7500 0.1732 0.5283 1
```

- uncorrected formation energy (eV per atom) = -1.64
- calculated volume (Å³ per cell) = 321.7

=====

An optimized crystal structure of CaMo2Rh. Source: Alexandria via LeMat-Bulk, functional GGA-PBE.

Structure (CIF):
```
data_CaMo2Rh
_cell_length_a 3.3926
_cell_length_b 3.3926
_cell_length_c 6.9987
_cell_angle_alpha 90.00
_cell_angle_beta 90.00
_cell_angle_gamma 90.00
_symmetry_space_group_name_H-M 'P 1'
_symmetry_Int_Tables_number 1
loop_
_symmetry_equiv_pos_as_xyz
'x,y,z'
loop_
_atom_site_label
_atom_site_type_symbol
_atom_site_fract_x
_atom_site_fract_y
_atom_site_fract_z
_atom_site_occupancy
Mo1 Mo 0.0000 0.0000 0.0814 1
Rh1 Rh 0.5000 0.5000 0.2500 1
Ca1 Ca 0.5000 0.5000 0.7500 1
Mo2 Mo 0.0000 0.0000 0.4186 1
```

- relative energy among the computed polymorphs (meV per atom) = 324
- E_form (kJ per mole of atoms) = 50.61
- calculated volume (Å³ per cell) = 80.6

=====

An optimized crystal structure of ReHPt2Cl. Source: Alexandria via LeMat-Bulk, functional GGA-PBE.

Structure (CIF):
```
data_ReHPt2Cl
_cell_length_a 4.5814
_cell_length_b 4.3537
_cell_length_c 4.5814
_cell_angle_alpha 90.00
_cell_angle_beta 90.00
_cell_angle_gamma 90.00
_symmetry_space_group_name_H-M 'P 1'
_symmetry_Int_Tables_number 1
loop_
_symmetry_equiv_pos_as_xyz
'x,y,z'
loop_
_atom_site_label
_atom_site_type_symbol
_atom_site_fract_x
_atom_site_fract_y
_atom_site_fract_z
_atom_site_occupancy
Re1 Re 0.0000 0.5000 0.0000 1
Cl1 Cl 0.0000 0.0000 0.0000 1
H1 H 0.5000 0.5000 0.5000 1
Pt1 Pt 0.0000 0.0000 0.5000 1
Pt2 Pt 0.5000 0.0000 0.0000 1
```

- uncorrected energy (eV/atom) = -3.911
- calculated volume (Å³ per cell) = 91.4

=====

An optimized crystal structure of VCdH. Source: Alexandria via LeMat-Bulk, functional GGA-PBE.

Structure (CIF):
```
data_VCdH
_cell_length_a 5.0787
_cell_length_b 5.4111
_cell_length_c 2.7927
_cell_angle_alpha 89.93
_cell_angle_beta 106.14
_cell_angle_gamma 93.64
_symmetry_space_group_name_H-M 'P 1'
_symmetry_Int_Tables_number 1
loop_
_symmetry_equiv_pos_as_xyz
'x,y,z'
loop_
_atom_site_label
_atom_site_type_symbol
_atom_site_fract_x
_atom_site_fract_y
_atom_site_fract_z
_atom_site_occupancy
V1 V 0.9704 0.4323 0.1443 1
Cd1 Cd 0.9701 0.9272 0.6426 1
V2 V 0.5012 0.6222 0.9077 1
Cd2 Cd 0.4650 0.1389 0.3902 1
H1 H 0.7347 0.5239 0.5254 1
H2 H 0.2784 0.6246 0.2953 1
```

- relative energy among the computed polymorphs (meV per atom) = 153
- calculated volume (Å³ per cell) = 73.6

=====

An optimized crystal structure of Y2MnPt. Source: Alexandria via LeMat-Bulk, functional GGA-PBE.

Structure (CIF):
```
data_Y2MnPt
_cell_length_a 3.4717
_cell_length_b 3.4717
_cell_length_c 7.7429
_cell_angle_alpha 90.00
_cell_angle_beta 90.00
_cell_angle_gamma 90.00
_symmetry_space_group_name_H-M 'P 1'
_symmetry_Int_Tables_number 1
loop_
_symmetry_equiv_pos_as_xyz
'x,y,z'
loop_
_atom_site_label
_atom_site_type_symbol
_atom_site_fract_x
_atom_site_fract_y
_atom_site_fract_z
_atom_site_occupancy
Y1 Y 0.0000 0.0000 0.9305 1
Mn1 Mn 0.0000 0.0000 0.5460 1
Y2 Y 0.5000 0.5000 0.3048 1
Pt1 Pt 0.5000 0.5000 0.7187 1
```

- E_form (kJ per mole of atoms) = -31.67
- calculated volume (Å³ per cell) = 93.3

=====

An optimized crystal structure of CsCa. Source: Alexandria via LeMat-Bulk, functional GGA-PBE.

Structure (CIF):
```
data_CsCa
_cell_length_a 10.2658
_cell_length_b 10.2658
_cell_length_c 10.2658
_cell_angle_alpha 90.00
_cell_angle_beta 90.00
_cell_angle_gamma 90.00
_symmetry_space_group_name_H-M 'P 1'
_symmetry_Int_Tables_number 1
loop_
_symmetry_equiv_pos_as_xyz
'x,y,z'
loop_
_atom_site_label
_atom_site_type_symbol
_atom_site_fract_x
_atom_site_fract_y
_atom_site_fract_z
_atom_site_occupancy
Ca1 Ca 0.7500 0.2500 0.7500 1
Ca2 Ca 0.7500 0.7500 0.2500 1
Ca3 Ca 0.2500 0.7500 0.7500 1
Cs1 Cs 0.0000 0.5000 0.5000 1
Cs2 Cs 0.5000 0.5000 0.0000 1
Cs3 Cs 0.0000 0.0000 0.0000 1
Cs4 Cs 0.5000 0.0000 0.5000 1
Ca4 Ca 0.2500 0.2500 0.2500 1
```

- E_form (kJ per mole of atoms) = 81.00
- calculated volume (Å³ per cell) = 1081.9

=====

An optimized crystal structure of MnBeGaPd. Source: Alexandria via LeMat-Bulk, functional GGA-PBE.

Structure (CIF):
```
data_MnBeGaPd
_cell_length_a 4.1866
_cell_length_b 4.1866
_cell_length_c 4.1866
_cell_angle_alpha 60.00
_cell_angle_beta 60.00
_cell_angle_gamma 60.00
_symmetry_space_group_name_H-M 'P 1'
_symmetry_Int_Tables_number 1
loop_
_symmetry_equiv_pos_as_xyz
'x,y,z'
loop_
_atom_site_label
_atom_site_type_symbol
_atom_site_fract_x
_atom_site_fract_y
_atom_site_fract_z
_atom_site_occupancy
Ga1 Ga 0.2500 0.2500 0.2500 1
Pd1 Pd 0.5000 0.5000 0.5000 1
Be1 Be 0.7500 0.7500 0.7500 1
Mn1 Mn 0.0000 0.0000 0.0000 1
```

- E_form (kJ per mole of atoms) = -22.05
- calculated volume (Å³ per cell) = 51.9

=====

What is the calculated volume in the tenth record?
1081.9 Å³ per cell